# La2CePa2Ru5

A relaxed La2CePa2Ru5 crystal (PBE-GGA, the Alexandria database).

a = 10.8152 Å, b = 10.8152 Å, c = 3.6965 Å
α = 90.00°, β = 90.00°, γ = 90.00°
Closest atoms and distances in Å follow each position.
Fractional coordinates of all 20 atoms:
La 0.1743 0.3257 0.0000  1 Pa 2.89
La 0.3257 0.8257 0.0000  1 Pa 2.89
La 0.6743 0.1743 0.0000  1 Pa 2.89
La 0.8257 0.6743 0.0000  1 Pa 2.89
Ce 0.0000 0.0000 0.0000  8 Ru 2.92
Ce 0.5000 0.5000 0.0000  8 Ru 2.92
Pa 0.1365 0.6365 0.0000  6 Ru 2.69-2.79, 1 La 2.89
Pa 0.3635 0.1365 0.0000  6 Ru 2.69-2.79, 1 La 2.89
Pa 0.6365 0.8635 0.0000  6 Ru 2.69-2.79, 1 La 2.89
Pa 0.8635 0.3635 0.0000  6 Ru 2.69-2.79, 1 La 2.89
Ru 0.0000 0.5000 0.5000  4 Pa 2.79
Ru 0.0545 0.7977 0.5000  2 Pa 2.69, 2 Ce 2.92
Ru 0.2023 0.0545 0.5000  2 Pa 2.69, 2 Ce 2.92
Ru 0.2977 0.5545 0.5000  2 Pa 2.69, 2 Ce 2.92
Ru 0.4455 0.2977 0.5000  2 Pa 2.69, 2 Ce 2.92
Ru 0.5000 0.0000 0.5000  4 Pa 2.79
Ru 0.5545 0.7023 0.5000  2 Pa 2.69, 2 Ce 2.92
Ru 0.7023 0.4455 0.5000  2 Pa 2.69, 2 Ce 2.92
Ru 0.7977 0.9455 0.5000  2 Pa 2.69, 2 Ce 2.92
Ru 0.9455 0.2023 0.5000  2 Pa 2.69, 2 Ce 2.92

Output
DFT total energy: -168.11 eV for the cell shown
calculated formation energy: -2.90 eV per formula unit
density: 10.64 g cm⁻³